[1]
Cs5Ag3P3 | PBE-GGA | optimized geometry

## Properties
E (eV/cell): -31.0
D(E_F) (states/eV/cell): 4.246
Magnetic moment (μB/cell): 0.00
Energy of formation (eV/f.u.): -1.9
SG: P-62m (189)

Cell lengths 11.0812, 11.0812, 4.6474 Å; angles 90.00, 90.00, 120.00 degrees
Closest atoms and distances in Å follow each position.
Element x y z (fractional)
Cs (0.0000, 0.7317, 0.0000)  3 P 3.73-3.92, 2 Cs 4.10, 4 Ag 4.13
Cs (0.2683, 0.2683, 0.0000)  3 P 3.73-3.92, 2 Cs 4.10, 4 Ag 4.13
Cs (0.3333, 0.6667, 0.0000)  3 P 3.47
Cs (0.6667, 0.3333, 0.0000)  3 P 3.47
Cs (0.7317, 0.0000, 0.0000)  3 P 3.73-3.92, 2 Cs 4.10, 4 Ag 4.13
Ag (0.0000, 0.3367, 0.5000)  2 P 2.37
Ag (0.3367, 0.0000, 0.5000)  2 P 2.37
Ag (0.6633, 0.6633, 0.5000)  2 P 2.37
P (0.0000, 0.3778, 0.0000)  2 Ag 2.37
P (0.3778, 0.0000, 0.0000)  2 Ag 2.37
P (0.6222, 0.6222, 0.0000)  2 Ag 2.37


[2]
Cs2AgP | PBE-GGA | optimized geometry

## Properties
E (eV/cell): -8.7
D(E_F) (states/eV/cell): 9.254
Magnetic moment (μB/cell): 1.30
Energy of formation (eV/f.u.): 1.3
SG: Fm-3m (225)

Cell lengths 6.1385, 6.1385, 6.1385 Å; angles 60.00, 60.00, 60.00 degrees
Closest atoms and distances in Å follow each position.
Element x y z (fractional)
Cs (0.2500, 0.2500, 0.2500)  4 P 3.76, 4 Ag 3.76
Cs (0.7500, 0.7500, 0.7500)  4 Ag 3.76, 4 P 3.76
Ag (0.0000, 0.0000, 0.0000)  8 Cs 3.76
P (0.5000, 0.5000, 0.5000)  8 Cs 3.76


[3]
Cs2AgP2Pd2 | PBE-GGA | optimized geometry

## Properties
E (eV/cell): -28.5
D(E_F) (states/eV/cell): 3.427
Magnetic moment (μB/cell): 0.00
Energy of formation (eV/f.u.): -2.7
SG: C2/m (12)

Cell lengths 6.6196, 6.6196, 8.9499 Å; angles 120.76, 120.76, 39.38 degrees
Closest atoms and distances in Å follow each position.
Element x y z (fractional)
Cs (0.0695, 0.0695, 0.3445)  2 Ag 3.51, 4 P 3.59-3.92, 3 Pd 3.87-3.93
Cs (0.9305, 0.9305, 0.6555)  2 Ag 3.51, 4 P 3.59-3.92, 3 Pd 3.87-3.93
Ag (0.5000, 0.5000, 0.0000)  2 P 2.43
P (0.2677, 0.2677, 0.8383)  3 Pd 2.37-2.40, 1 Ag 2.43
P (0.7323, 0.7323, 0.1617)  3 Pd 2.37-2.40, 1 Ag 2.43
Pd (0.2604, 0.2604, 0.1012)  3 P 2.37-2.40
Pd (0.7396, 0.7396, 0.8988)  3 P 2.37-2.40


[4]
CsAgP2Pt4 | PBE-GGA | optimized geometry

## Properties
E (eV/cell): -41.7
D(E_F) (states/eV/cell): 1.754
Magnetic moment (μB/cell): 0.00
Energy of formation (eV/f.u.): -3.0
SG: P4/mmm (123)

Cell lengths 4.0390, 4.0390, 10.9731 Å; angles 90.00, 90.00, 90.00 degrees
Closest atoms and distances in Å follow each position.
Element x y z (fractional)
Cs (0.0000, 0.0000, 0.0000)  8 P 3.70, 8 Pt 4.02, 4 Cs 4.04
Ag (0.0000, 0.0000, 0.5000)  8 Pt 2.85
P (0.5000, 0.5000, 0.2150)  4 Pt 2.31
P (0.5000, 0.5000, 0.7850)  4 Pt 2.31
Pt (0.0000, 0.5000, 0.3166)  2 P 2.31
Pt (0.0000, 0.5000, 0.6834)  2 P 2.31
Pt (0.5000, 0.0000, 0.3166)  2 P 2.31
Pt (0.5000, 0.0000, 0.6834)  2 P 2.31


[5]
Cs2AgPPt | PBE-GGA | optimized geometry

## Properties
E (eV/cell): -16.8
D(E_F) (states/eV/cell): 3.760
Magnetic moment (μB/cell): 0.00
Energy of formation (eV/f.u.): -0.8
SG: P4/mmm (123)
Relative energy among the computed polymorphs (meV/atom): 0

Cell lengths 7.0347, 7.0347, 4.3756 Å; angles 90.00, 90.00, 90.00 degrees
Closest atoms and distances in Å follow each position.
Element x y z (fractional)
Cs (0.0000, 0.5000, 0.0000)  2 Pt 3.52
Cs (0.5000, 0.0000, 0.0000)  2 Pt 3.52
Ag (0.0000, 0.0000, 0.5000)  8 Cs 4.14, 2 Ag 4.38
P (0.5000, 0.5000, 0.5000)  2 Pt 2.19
Pt (0.5000, 0.5000, 0.0000)  2 P 2.19


[6]
Cs2AgPPt | PBE-GGA | optimized geometry

## Properties
E (eV/cell): -16.7
D(E_F) (states/eV/cell): 3.880
Magnetic moment (μB/cell): 0.00
Energy of formation (eV/f.u.): -0.7
SG: P4/mmm (123)
Relative energy among the computed polymorphs (meV/atom): 10

Cell lengths 7.0612, 7.0612, 4.3544 Å; angles 90.00, 90.00, 90.00 degrees
Closest atoms and distances in Å follow each position.
Element x y z (fractional)
Cs (0.0000, 0.5000, 0.0000)  2 P 3.53
Cs (0.5000, 0.0000, 0.0000)  2 P 3.53
Ag (0.0000, 0.0000, 0.5000)  8 Cs 4.15, 2 Ag 4.35
P (0.5000, 0.5000, 0.0000)  2 Pt 2.18
Pt (0.5000, 0.5000, 0.5000)  2 P 2.18


[7]
CsAgPRh | PBE-GGA | optimized geometry

## Properties
E (eV/cell): -36.3
D(E_F) (states/eV/cell): 3.783
Magnetic moment (μB/cell): 0.00
Energy of formation (eV/f.u.): -1.7
SG: P4/nmm (129)

Cell lengths 3.9653, 3.9653, 13.3931 Å; angles 90.00, 90.00, 90.00 degrees
Closest atoms and distances in Å follow each position.
Element x y z (fractional)
Cs (0.2500, 0.2500, 0.2396)  4 P 3.58, 4 Ag 3.77, 4 Cs 3.97
Cs (0.7500, 0.7500, 0.7604)  4 P 3.58, 4 Ag 3.77, 4 Cs 3.97
Ag (0.2500, 0.7500, 0.0000)  4 Ag 2.80
Ag (0.7500, 0.2500, 0.0000)  4 Ag 2.80
P (0.2500, 0.2500, 0.5947)  4 Rh 2.35
P (0.7500, 0.7500, 0.4053)  4 Rh 2.35
Rh (0.2500, 0.7500, 0.5000)  4 P 2.35
Rh (0.7500, 0.2500, 0.5000)  4 P 2.35


[8]
CsAg2P2S6 | PBE-GGA | optimized geometry

## Properties
E (eV/cell): -46.0
D(E_F) (states/eV/cell): 4.855
Magnetic moment (μB/cell): 0.00
SG: P-1 (2)
Formation energy (no corrections) (eV per atom): -0.3488

Cell lengths 6.4872, 6.8554, 7.7134 Å; angles 107.18, 108.95, 95.42 degrees
Closest atoms and distances in Å follow each position.
Element x y z (fractional)
Cs (0.0000, 0.0000, 0.0000)  10 S 3.67-3.84
Ag (0.1406, 0.6755, 0.4727)  3 S 2.44-2.51
Ag (0.8594, 0.3245, 0.5273)  3 S 2.44-2.51
P (0.4676, 0.4698, 0.8353)  3 S 2.03-2.04
P (0.5324, 0.5302, 0.1647)  3 S 2.03-2.04
S (0.2138, 0.2154, 0.6711)  1 P 2.04
S (0.2329, 0.5897, 0.1699)  1 P 2.03
S (0.4086, 0.7448, 0.8013)  1 P 2.03
S (0.5914, 0.2552, 0.1987)  1 P 2.03
S (0.7671, 0.4103, 0.8301)  1 P 2.03
S (0.7862, 0.7846, 0.3289)  1 P 2.04


[9]
Cs2AgPS4 | PBE-GGA | optimized geometry

## Properties
E (eV/cell): -64.7
D(E_F) (states/eV/cell): 0.000
Magnetic moment (μB/cell): 0.00
SG: Fddd (70)
Formation energy (no corrections) (eV per atom): -0.7327

Cell lengths 14.0018, 12.6691, 7.4842 Å; angles 83.80, 64.10, 32.10 degrees
Closest atoms and distances in Å follow each position.
Element x y z (fractional)
Cs (0.0528, 0.0528, 0.6972)  6 S 3.61-3.94
Cs (0.3028, 0.3028, 0.9472)  6 S 3.61-3.94
Cs (0.6972, 0.6972, 0.0528)  6 S 3.61-3.94
Cs (0.9472, 0.9472, 0.3028)  6 S 3.61-3.94
Ag (0.1250, 0.1250, 0.1250)  4 S 2.61
Ag (0.8750, 0.8750, 0.8750)  4 S 2.61
P (0.3750, 0.3750, 0.3750)  4 S 2.07
P (0.6250, 0.6250, 0.6250)  4 S 2.07
S (0.0498, 0.6039, 0.5234)  1 P 2.07
S (0.3228, 0.5234, 0.6039)  1 P 2.07
S (0.3961, 0.9502, 0.6772)  1 P 2.07
S (0.4766, 0.6772, 0.9502)  1 P 2.07
S (0.5234, 0.3228, 0.0498)  1 P 2.07
S (0.6039, 0.0498, 0.3228)  1 P 2.07
S (0.6772, 0.4766, 0.3961)  1 P 2.07
S (0.9502, 0.3961, 0.4766)  1 P 2.07


[10]
CsAgP2S | PBE-GGA | optimized geometry

## Properties
E (eV/cell): -9.4
D(E_F) (states/eV/cell): 1.874
Magnetic moment (μB/cell): 2.96
SG: P4/mmm (123)
Formation energy (no corrections) (eV per atom): 1.8487
Relative energy among the computed polymorphs (meV/atom): 1284

Cell lengths 5.8729, 5.8729, 5.4297 Å; angles 90.00, 90.00, 90.00 degrees
Closest atoms and distances in Å follow each position.
Element x y z (fractional)
Cs (0.0000, 0.0000, 0.0000)  2 S 2.71, 4 P 2.94
Ag (0.5000, 0.5000, 0.5000)  8 P 4.00, 4 S 4.15
P (0.0000, 0.5000, 0.0000)  2 Cs 2.94
P (0.5000, 0.0000, 0.0000)  2 Cs 2.94
S (0.0000, 0.0000, 0.5000)  2 Cs 2.71


[11]
Cs3AgP2S6 | PBE-GGA | optimized geometry

## Properties
E (eV/cell): -48.7
D(E_F) (states/eV/cell): 2.646
Magnetic moment (μB/cell): 0.00
SG: P-3m1 (164)
Formation energy (no corrections) (eV per atom): -0.6434

Cell lengths 7.1504, 7.1504, 9.4055 Å; angles 90.00, 90.00, 120.00 degrees
Closest atoms and distances in Å follow each position.
Element x y z (fractional)
Cs (0.0000, 0.0000, 0.0000)  6 S 3.58
Cs (0.3333, 0.6667, 0.6480)  9 S 3.60-3.79, 1 P 3.66
Cs (0.6667, 0.3333, 0.3520)  9 S 3.60-3.79, 1 P 3.66
Ag (0.0000, 0.0000, 0.5000)  6 S 2.80
P (0.3333, 0.6667, 0.2589)  3 S 2.05
P (0.6667, 0.3333, 0.7411)  3 S 2.05
S (0.1716, 0.3433, 0.3057)  1 P 2.05
S (0.1716, 0.8284, 0.3057)  1 P 2.05
S (0.3433, 0.1716, 0.6943)  1 P 2.05
S (0.6567, 0.8284, 0.3057)  1 P 2.05
S (0.8284, 0.1716, 0.6943)  1 P 2.05
S (0.8284, 0.6567, 0.6943)  1 P 2.05